1.
{"formula": "LiSbMoPt2", "functional": "PBE-GGA", "state": "optimized geometry", "e_tot_ev_per_fu": -24.7, "density_g_cm3": 9.36, "magmom_total_mub_per_cell": 0.23, "lattice": [[4.827, 0.000, 0.000], [0.000, 4.827, 0.000], [0.000, 0.000, 4.680]], "species": ["Li", "Sb", "Mo", "Pt", "Pt"], "fractional_positions": [[0.000, 0.000, 0.000], [0.500, 0.500, 0.000], [0.000, 0.000, 0.500], [0.000, 0.500, 0.500], [0.500, 0.000, 0.500]]}

2.
{"formula": "LiScMoPt2", "functional": "PBE-GGA", "state": "optimized geometry", "e_tot_ev_per_fu": -29.7, "density_g_cm3": 11.42, "magmom_total_mub_per_cell": 0.05, "formation_enthalpy_0k_ev_per_atom": 0.28, "lattice": [[4.230, 0.000, 0.000], [0.000, 4.230, 0.000], [0.000, 0.000, 4.371]], "species": ["Li", "Sc", "Mo", "Pt", "Pt"], "fractional_positions": [[0.000, 0.000, 0.000], [0.000, 0.000, 0.500], [0.500, 0.500, 0.500], [0.000, 0.500, 0.000], [0.500, 0.000, 0.000]]}

3.
{"formula": "Li3Pu3MoS8", "functional": "PBE-GGA", "state": "optimized geometry", "e_tot_ev_per_fu": -112.6, "density_g_cm3": 5.80, "magmom_total_mub_per_cell": 17.01, "lattice": [[3.855, 2.226, 6.141], [-3.855, 2.226, 6.141], [0.000, -4.452, 6.141]], "species": ["Li", "Li", "Li", "Pu", "Pu", "Pu", "Mo", "S", "S", "S", "S", "S", "S", "S", "S"], "fractional_positions": [[0.000, 0.500, 0.500], [0.500, 0.000, 0.500], [0.500, 0.500, 0.000], [0.000, 0.000, 0.500], [0.000, 0.500, 0.000], [0.500, 0.000, 0.000], [0.500, 0.500, 0.500], [0.252, 0.252, 0.252], [0.267, 0.267, 0.729], [0.267, 0.729, 0.267], [0.271, 0.733, 0.733], [0.729, 0.267, 0.267], [0.733, 0.271, 0.733], [0.733, 0.733, 0.271], [0.748, 0.748, 0.748]]}

4.
{"formula": "RbLi3Mo", "functional": "PBE-GGA", "state": "optimized geometry", "e_tot_ev_per_fu": -12.6, "density_g_cm3": 1.93, "magmom_total_mub_per_cell": 4.94, "e_above_lowest_polymorph_mev_per_atom": 0.0, "formation_enthalpy_0k_ev_per_atom": 0.99, "lattice": [[5.579, 0.000, 0.000], [0.000, 5.579, 0.000], [0.000, 0.000, 5.579]], "species": ["Rb", "Li", "Li", "Li", "Mo"], "fractional_positions": [[0.000, 0.000, 0.000], [0.000, 0.500, 0.500], [0.500, 0.000, 0.500], [0.500, 0.500, 0.000], [0.500, 0.500, 0.500]]}

Volume across the listed records, respectively: 109.03 78.24 316.19 173.69 Å³/cell.